VASP calculation (PBE) on crystalline MgCdGe at its relaxed geometry.

Its formation energy is 47 meV per atom.

The space group is Cm (No. 8) and the conventional cell measures 11.955, 4.238 and 5.812 Å, with angles of 90.00, 117.44 and 90.00 degrees. The inequivalent atoms are Mg at (0.000, 0.000, 0.000), Mg at (0.203, 0.500, 0.450), Cd at (0.179, 0.500, 0.949), Cd at (0.376, 0.000, 0.339), Ge at (0.070, 0.000, 0.559) and Ge at (0.325, 0.000, 0.792).

***

VASP calculation (PBE) on crystalline Mg5Cd4Ge at its relaxed geometry.

Its formation energy is -98 meV per atom.

The space group is P4/mmm (No. 123) and the conventional cell measures 3.244, 3.244 and 20.107 Å, with angles of 90.00, 90.00 and 90.00 degrees. The inequivalent atoms are Mg at (0.000, 0.000, 0.000), Mg at (0.000, 0.000, 0.203), Mg at (0.000, 0.000, 0.409), Cd at (0.500, 0.500, 0.102), Cd at (0.500, 0.500, 0.305) and Ge at (0.500, 0.500, 0.500).

***

VASP calculation (PBE) on crystalline NaMgCdGe at its relaxed geometry.

Its formation energy is -35 meV per atom.

The space group is F-43m (No. 216) and the conventional cell measures 7.009, 7.009 and 7.009 Å, with angles of 90.00, 90.00 and 90.00 degrees. The inequivalent atoms are Na at (0.000, 0.000, 0.000), Mg at (0.000, 0.000, 0.500), Cd at (0.250, 0.250, 0.750) and Ge at (0.250, 0.250, 0.250).

***

VASP calculation (PBE) on crystalline NdMgCdGe at its relaxed geometry.

Its formation energy is -307 meV per atom.

The space group is F-43m (No. 216) and the conventional cell measures 7.221, 7.221 and 7.221 Å, with angles of 90.00, 90.00 and 90.00 degrees. The inequivalent atoms are Nd at (0.000, 0.000, 0.000), Mg at (0.000, 0.000, 0.500), Cd at (0.250, 0.250, 0.750) and Ge at (0.250, 0.250, 0.250).

***

VASP calculation (PBE) on crystalline MgCdGeO4 at its relaxed geometry.

As for the uncorrected formation energy: -1782 meV/atom.

The space group is Cmcm (No. 63) and the conventional cell measures 6.102, 9.297 and 6.459 Å, with angles of 90.00, 90.00 and 90.00 degrees. The inequivalent atoms are Mg at (0.000, 0.153, 0.250), Cd at (0.000, 0.500, 0.000), Ge at (0.000, 0.147, 0.750), O at (0.000, 0.251, 0.522) and O at (0.219, 0.014, 0.750).

***

VASP calculation (PBE) on crystalline MgCdGe2O6 at its relaxed geometry.

As for the uncorrected formation energy: -1770 meV/atom.

The space group is C2/c (No. 15) and the conventional cell measures 9.958, 9.624 and 5.315 Å, with angles of 90.00, 100.10 and 90.00 degrees. The inequivalent atoms are Mg at (0.000, 0.225, 0.250), Cd at (0.000, 0.404, 0.750), Ge at (0.198, 0.091, 0.779), O at (0.112, 0.224, 0.602), O at (0.123, 0.396, 0.159) and O at (0.146, 0.068, 0.093).

***

VASP calculation (PBE) on crystalline MgCdGe2Os at its relaxed geometry.

Its formation energy is 1449 meV per atom.

The space group is P4/mmm (No. 123) and the conventional cell measures 4.977, 4.977 and 5.158 Å, with angles of 90.00, 90.00 and 90.00 degrees. The inequivalent atoms are Mg at (0.000, 0.000, 0.000), Cd at (0.500, 0.500, 0.500), Ge at (0.000, 0.500, 0.500) and Os at (0.500, 0.500, 0.000).

***

VASP calculation (PBE) on crystalline MgCdGePb at its relaxed geometry.

Its formation energy is 91 meV per atom.

The space group is F-43m (No. 216) and the conventional cell measures 7.329, 7.329 and 7.329 Å, with angles of 90.00, 90.00 and 90.00 degrees. The inequivalent atoms are Mg at (0.000, 0.000, 0.000), Cd at (0.250, 0.250, 0.250), Ge at (0.250, 0.250, 0.750) and Pb at (0.000, 0.000, 0.500).

***

VASP calculation (PBE) on crystalline MgCd2GePd2 at its relaxed geometry.

Its formation energy is -396 meV per atom.

The space group is Pmc2_1 (No. 26) and the conventional cell measures 3.402, 9.059 and 7.168 Å, with angles of 90.00, 90.00 and 90.00 degrees. The inequivalent atoms are Mg at (0.000, 0.113, 0.000), Cd at (0.000, 0.320, 0.353), Cd at (0.500, 0.434, 0.047), Ge at (0.500, 0.172, 0.648), Pd at (0.000, 0.363, 0.750) and Pd at (0.500, 0.073, 0.309).

***

VASP calculation (PBE) on crystalline PmMgCdGe at its relaxed geometry.

Its formation energy is -308 meV per atom.

The space group is F-43m (No. 216) and the conventional cell measures 7.187, 7.187 and 7.187 Å, with angles of 90.00, 90.00 and 90.00 degrees. The inequivalent atoms are Pm at (0.000, 0.000, 0.000), Mg at (0.000, 0.000, 0.500), Cd at (0.250, 0.250, 0.250) and Ge at (0.250, 0.250, 0.750).

***

VASP calculation (PBE) on crystalline PrMgCdGe at its relaxed geometry.

Its formation energy is -305 meV per atom.

The space group is F-43m (No. 216) and the conventional cell measures 7.256, 7.256 and 7.256 Å, with angles of 90.00, 90.00 and 90.00 degrees. The inequivalent atoms are Pr at (0.000, 0.000, 0.000), Mg at (0.000, 0.000, 0.500), Cd at (0.250, 0.250, 0.250) and Ge at (0.250, 0.250, 0.750).

***

VASP calculation (PBE) on crystalline Mg2CdGe2Pt5 at its relaxed geometry.

Its formation energy is -481 meV per atom.

The space group is P4/mbm (No. 127) and the conventional cell measures 9.386, 9.386 and 3.877 Å, with angles of 90.00, 90.00 and 90.00 degrees. The inequivalent atoms are Mg at (0.170, 0.330, 0.000), Cd at (0.000, 0.000, 0.000), Ge at (0.130, 0.630, 0.000), Pt at (0.000, 0.500, 0.500) and Pt at (0.073, 0.795, 0.500).

***

VASP calculation (PBE) on crystalline MgCdGePt2 at its relaxed geometry.

Its formation energy is 810 meV per atom.

The space group is P4/mmm (No. 123) and the conventional cell measures 5.006, 5.006 and 4.834 Å, with angles of 90.00, 90.00 and 90.00 degrees. The inequivalent atoms are Mg at (0.000, 0.000, 0.000), Cd at (0.000, 0.000, 0.500), Ge at (0.500, 0.500, 0.000) and Pt at (0.000, 0.500, 0.500).

***

VASP calculation (PBE) on crystalline RbMg2CdGe at its relaxed geometry.

Its formation energy is 1225 meV per atom.

The space group is P4/mmm (No. 123) and the conventional cell measures 6.881, 6.881 and 6.677 Å, with angles of 90.00, 90.00 and 90.00 degrees. The inequivalent atoms are Rb at (0.000, 0.000, 0.000), Mg at (0.000, 0.500, 0.000), Cd at (0.000, 0.000, 0.500) and Ge at (0.500, 0.500, 0.500).

***

VASP calculation (PBE) on crystalline MgCd2Ge2Rh5 at its relaxed geometry.

Its formation energy is -315 meV per atom.

The space group is P4/mbm (No. 127) and the conventional cell measures 9.881, 9.881 and 3.337 Å, with angles of 90.00, 90.00 and 90.00 degrees. The inequivalent atoms are Mg at (0.000, 0.000, 0.000), Cd at (0.173, 0.327, 0.000), Ge at (0.130, 0.630, 0.000), Rh at (0.000, 0.500, 0.500) and Rh at (0.070, 0.797, 0.500).

***

VASP calculation (PBE) on crystalline SmMgCdGe at its relaxed geometry.

Its formation energy is -304 meV per atom.

The space group is F-43m (No. 216) and the conventional cell measures 7.167, 7.167 and 7.167 Å, with angles of 90.00, 90.00 and 90.00 degrees. The inequivalent atoms are Sm at (0.000, 0.000, 0.000), Mg at (0.000, 0.000, 0.500), Cd at (0.250, 0.250, 0.750) and Ge at (0.250, 0.250, 0.250).

***

VASP calculation (PBE) on crystalline Sr2MgCd3Ge4 at its relaxed geometry.

Its formation energy is -328 meV per atom.

The space group is P-4m2 (No. 115) and the conventional cell measures 4.586, 4.586 and 11.665 Å, with angles of 90.00, 90.00 and 90.00 degrees. The inequivalent atoms are Sr at (0.000, 0.500, 0.247), Mg at (0.000, 0.000, 0.500), Cd at (0.000, 0.500, 0.864), Cd at (0.500, 0.500, 0.500), Ge at (0.000, 0.000, 0.000), Ge at (0.000, 0.500, 0.637) and Ge at (0.500, 0.500, 0.000).

***

VASP calculation (PBE) on crystalline SrMgCdGe at its relaxed geometry.

Its formation energy is -273 meV per atom.

The space group is F-43m (No. 216) and the conventional cell measures 7.399, 7.399 and 7.399 Å, with angles of 90.00, 90.00 and 90.00 degrees. The inequivalent atoms are Sr at (0.000, 0.000, 0.000), Mg at (0.000, 0.000, 0.500), Cd at (0.250, 0.250, 0.250) and Ge at (0.250, 0.250, 0.750).

***

VASP calculation (PBE) on crystalline Sr2MgCd4Ge3 at its relaxed geometry.

Its formation energy is -301 meV per atom.

The space group is P-4m2 (No. 115) and the conventional cell measures 4.518, 4.518 and 12.227 Å, with angles of 90.00, 90.00 and 90.00 degrees. The inequivalent atoms are Sr at (0.000, 0.500, 0.235), Mg at (0.000, 0.000, 0.500), Cd at (0.000, 0.000, 0.000), Cd at (0.000, 0.500, 0.641), Cd at (0.500, 0.500, 0.000), Ge at (0.000, 0.500, 0.862) and Ge at (0.500, 0.500, 0.500).

***

VASP calculation (PBE) on crystalline Sr2Mg3CdGe4 at its relaxed geometry.

Its formation energy is -392 meV per atom.

The space group is P-4m2 (No. 115) and the conventional cell measures 4.552, 4.552 and 11.523 Å, with angles of 90.00, 90.00 and 90.00 degrees. The inequivalent atoms are Sr at (0.000, 0.500, 0.247), Mg at (0.000, 0.500, 0.869), Mg at (0.500, 0.500, 0.500), Cd at (0.000, 0.000, 0.500), Ge at (0.000, 0.000, 0.000), Ge at (0.000, 0.500, 0.641) and Ge at (0.500, 0.500, 0.000).

***

It is found that the DOS(E_F) values, taken in the order of the records, are 0.252, 0.309, 0.685, 0.847, 0.000, 0.000, 0.951, 0.263, 0.310, 0.826, 0.874, 0.315, 0.430, 0.725, 0.466, 0.822, 0.250, 0.124, 0.245, 0.123 states/eV per atom.